A relaxed structure of K2RbNi2F7. Source: Alexandria via LeMat-Bulk, functional PBE+U.

energy: -51.56 eV per formula unit
density of states at the Fermi level: 0.00 states/eV/atom
total magnetic moment: 4.0 μB per formula unit
space group: C2/m

Cell: 4.098 4.098 11.112 Å, 79.34 79.34 90.00°
Fractional positions:
K (0.813, 0.813, 0.372)
K (0.187, 0.187, 0.628)
Rb (0.000, 0.000, 0.000)
Ni (0.598, 0.598, 0.805)
Ni (0.402, 0.402, 0.195)
F (0.500, 0.500, 0.000)
F (0.308, 0.308, 0.382)
F (0.692, 0.692, 0.618)
F (0.901, 0.401, 0.196)
F (0.401, 0.901, 0.196)
F (0.599, 0.099, 0.804)
F (0.099, 0.599, 0.804)